Model w:
## K2RuPt (GGA-PBE)

Data for an optimized crystal structure of K2RuPt.

a = 2.827 Å, b = 5.543 Å, c = 5.188 Å
α = 90.00°, β = 93.50°, γ = 90.00°
Positions (direct):
K  0.241  0.000  0.253
K  0.759  0.000  0.747
Ru  0.500  0.500  0.000
Pt  0.000  0.500  0.500

Calculated values
symmetry = P2/m
crystal system = monoclinic
spin magnetization = 0.47 μB/f.u.


Model x:
## K2RuPt (GGA-PBE)

Data for an optimized crystal structure of K2RuPt.

a = 7.193 Å, b = 7.193 Å, c = 7.193 Å
α = 90.00°, β = 90.00°, γ = 90.00°
Positions (direct):
K  0.000  0.000  0.000
K  0.000  0.500  0.500
K  0.250  0.250  0.250
K  0.250  0.750  0.750
K  0.500  0.000  0.500
K  0.500  0.500  0.000
K  0.750  0.250  0.750
K  0.750  0.750  0.250
Ru  0.250  0.250  0.750
Ru  0.250  0.750  0.250
Ru  0.750  0.250  0.250
Ru  0.750  0.750  0.750
Pt  0.000  0.000  0.500
Pt  0.000  0.500  0.000
Pt  0.500  0.000  0.000
Pt  0.500  0.500  0.500

Calculated values
symmetry = F-43m
crystal system = cubic
spin magnetization = 2.76 μB/f.u.


Model y:
## K2RuPt (GGA-PBE)

Data for an optimized crystal structure of K2RuPt.

a = 4.387 Å, b = 5.686 Å, c = 9.483 Å
α = 90.00°, β = 90.00°, γ = 90.00°
Positions (direct):
K  0.000  0.000  0.000
K  0.000  0.500  0.197
K  0.500  0.000  0.697
K  0.500  0.500  0.500
Ru  0.000  0.000  0.397
Ru  0.500  0.500  0.897
Pt  0.000  0.500  0.795
Pt  0.500  0.000  0.295

Calculated values
symmetry = Imm2
crystal system = orthorhombic
spin magnetization = 0.92 μB/f.u.


Model z:
## K2RuPt (GGA-PBE)

Data for an optimized crystal structure of K2RuPt.

a = 7.480 Å, b = 7.480 Å, c = 7.480 Å
α = 90.00°, β = 90.00°, γ = 90.00°
Positions (direct):
K  0.250  0.250  0.250
K  0.250  0.250  0.750
K  0.250  0.750  0.250
K  0.250  0.750  0.750
K  0.750  0.250  0.250
K  0.750  0.250  0.750
K  0.750  0.750  0.250
K  0.750  0.750  0.750
Ru  0.000  0.000  0.000
Ru  0.000  0.500  0.500
Ru  0.500  0.000  0.500
Ru  0.500  0.500  0.000
Pt  0.000  0.000  0.500
Pt  0.000  0.500  0.000
Pt  0.500  0.000  0.000
Pt  0.500  0.500  0.500

Calculated values
symmetry = Fm-3m
crystal system = cubic
spin magnetization = 2.53 μB/f.u.


Least stable of them? model z.


Model w:
## K2RuPt (GGA-PBE)

Data for an optimized crystal structure of K2RuPt.

a = 3.218 Å, b = 3.218 Å, c = 34.647 Å
α = 90.00°, β = 90.00°, γ = 120.00°
Positions (direct):
K  0.000  0.000  0.000
K  0.000  0.000  0.212
K  0.333  0.667  0.667
K  0.333  0.667  0.878
K  0.667  0.333  0.333
K  0.667  0.333  0.545
Ru  0.000  0.000  0.747
Ru  0.333  0.667  0.414
Ru  0.667  0.333  0.080
Pt  0.000  0.000  0.467
Pt  0.333  0.667  0.133
Pt  0.667  0.333  0.800

Calculated values
symmetry = R3m
crystal system = trigonal
spin magnetization = 1.58 μB/f.u.


Model x:
## K2RuPt (GGA-PBE)

Data for an optimized crystal structure of K2RuPt.

a = 3.990 Å, b = 4.100 Å, c = 10.773 Å
α = 90.00°, β = 90.00°, γ = 90.00°
Positions (direct):
K  0.000  0.000  0.246
K  0.000  0.000  0.754
K  0.500  0.500  0.254
K  0.500  0.500  0.746
Ru  0.000  0.500  0.000
Ru  0.500  0.000  0.500
Pt  0.000  0.500  0.500
Pt  0.500  0.000  0.000

Calculated values
symmetry = Immm
crystal system = orthorhombic
spin magnetization = 2.02 μB/f.u.


Least stable of them? model w.


Model w:
## K2RuPt (GGA-PBE)

Data for an optimized crystal structure of K2RuPt.

a = 5.697 Å, b = 10.731 Å, c = 2.826 Å
α = 90.00°, β = 90.00°, γ = 90.00°
Positions (direct):
K  0.250  0.250  0.000
K  0.250  0.750  0.000
K  0.750  0.250  0.000
K  0.750  0.750  0.000
Ru  0.000  0.000  0.500
Ru  0.500  0.500  0.500
Pt  0.000  0.500  0.500
Pt  0.500  0.000  0.500

Calculated values
symmetry = Cmmm
crystal system = orthorhombic
spin magnetization = 1.36 μB/f.u.


Model x:
## K2RuPt (GGA-PBE)

Data for an optimized crystal structure of K2RuPt.

a = 11.219 Å, b = 2.835 Å, c = 5.146 Å
α = 90.00°, β = 97.41°, γ = 90.00°
Positions (direct):
K  0.244  0.000  0.246
K  0.256  0.500  0.754
K  0.744  0.500  0.246
K  0.756  0.000  0.754
Ru  0.000  0.000  0.500
Ru  0.500  0.500  0.500
Pt  0.000  0.500  0.000
Pt  0.500  0.000  0.000

Calculated values
symmetry = C2/m
crystal system = monoclinic
spin magnetization = 0.61 μB/f.u.


Least stable of them? model w.


Model w:
## KRuPt3 (GGA-PBE)

Data for an optimized crystal structure of KRuPt3.

a = 4.900 Å, b = 4.900 Å, c = 4.900 Å
α = 90.00°, β = 90.00°, γ = 90.00°
Positions (direct):
K  0.000  0.000  0.000
Ru  0.500  0.500  0.500
Pt  0.000  0.500  0.500
Pt  0.500  0.000  0.500
Pt  0.500  0.500  0.000

Calculated values
symmetry = Pm-3m
crystal system = cubic
spin magnetization = 0.00 μB/f.u.


Model x:
## KRuPt3 (GGA-PBE)

Data for an optimized crystal structure of KRuPt3.

a = 4.839 Å, b = 4.839 Å, c = 4.839 Å
α = 90.00°, β = 90.00°, γ = 90.00°
Positions (direct):
K  0.000  0.000  0.000
Ru  0.500  0.500  0.500
Pt  0.000  0.000  0.500
Pt  0.000  0.500  0.000
Pt  0.500  0.000  0.000

Calculated values
symmetry = Pm-3m
crystal system = cubic
spin magnetization = 3.19 μB/f.u.


Least stable of them? model x.


Model w:
## KPt3S (GGA-PBE)

Data for an optimized crystal structure of KPt3S.

a = 4.657 Å, b = 4.657 Å, c = 4.657 Å
α = 90.00°, β = 90.00°, γ = 90.00°
Positions (direct):
K  0.000  0.000  0.000
Pt  0.000  0.500  0.500
Pt  0.500  0.000  0.500
Pt  0.500  0.500  0.000
S  0.500  0.500  0.500

Calculated values
symmetry = Pm-3m
crystal system = cubic
spin magnetization = 0.00 μB/f.u.


Model x:
## KPt3S (GGA-PBE)

Data for an optimized crystal structure of KPt3S.

a = 4.980 Å, b = 4.980 Å, c = 4.980 Å
α = 90.00°, β = 90.00°, γ = 90.00°
Positions (direct):
K  0.000  0.000  0.000
Pt  0.000  0.000  0.500
Pt  0.000  0.500  0.000
Pt  0.500  0.000  0.000
S  0.500  0.500  0.500

Calculated values
symmetry = Pm-3m
crystal system = cubic
spin magnetization = 1.23 μB/f.u.


Least stable of them? model x.


Model w:
## KPtS3 (GGA-PBE)

Data for an optimized crystal structure of KPtS3.

a = 8.209 Å, b = 8.209 Å, c = 8.209 Å
α = 44.92°, β = 44.92°, γ = 44.92°
Positions (direct):
K  0.152  0.152  0.152
K  0.848  0.848  0.848
Pt  0.334  0.334  0.334
Pt  0.666  0.666  0.666
S  0.058  0.684  0.441
S  0.316  0.559  0.942
S  0.441  0.058  0.684
S  0.559  0.942  0.316
S  0.684  0.441  0.058
S  0.942  0.316  0.559

Calculated values
symmetry = R-3
crystal system = trigonal
spin magnetization = 0.00 μB/f.u.


Model x:
## KPtS3 (GGA-PBE)

Data for an optimized crystal structure of KPtS3.

a = 5.266 Å, b = 5.266 Å, c = 5.266 Å
α = 90.00°, β = 90.00°, γ = 90.00°
Positions (direct):
K  0.000  0.000  0.000
Pt  0.500  0.500  0.500
S  0.000  0.000  0.500
S  0.000  0.500  0.000
S  0.500  0.000  0.000

Calculated values
symmetry = Pm-3m
crystal system = cubic
spin magnetization = 0.15 μB/f.u.


Least stable of them? model x.


Model w:
## KPt2S2 (GGA-PBE)

Data for an optimized crystal structure of KPt2S2.

a = 4.729 Å, b = 4.729 Å, c = 11.109 Å
α = 90.00°, β = 90.00°, γ = 90.00°
Positions (direct):
K  0.000  0.000  0.000
K  0.500  0.500  0.500
Pt  0.000  0.500  0.250
Pt  0.000  0.500  0.750
Pt  0.500  0.000  0.250
Pt  0.500  0.000  0.750
S  0.000  0.000  0.296
S  0.000  0.000  0.704
S  0.500  0.500  0.204
S  0.500  0.500  0.796

Calculated values
symmetry = I4/mmm
crystal system = tetragonal
spin magnetization = 0.00 μB/f.u.


Model x:
## KPt2S2 (GGA-PBE)

Data for an optimized crystal structure of KPt2S2.

a = 4.672 Å, b = 4.672 Å, c = 10.730 Å
α = 90.00°, β = 90.00°, γ = 90.00°
Positions (direct):
K  0.000  0.000  0.000
K  0.500  0.500  0.500
Pt  0.000  0.000  0.305
Pt  0.000  0.000  0.695
Pt  0.500  0.500  0.195
Pt  0.500  0.500  0.805
S  0.000  0.500  0.250
S  0.000  0.500  0.750
S  0.500  0.000  0.250
S  0.500  0.000  0.750

Calculated values
symmetry = I4/mmm
crystal system = tetragonal
spin magnetization = 0.00 μB/f.u.


Least stable of them? model w.


Model w:
## K2PtS6 (GGA-PBE)

Data for an optimized crystal structure of K2PtS6.

a = 7.152 Å, b = 7.152 Å, c = 5.552 Å
α = 97.84°, β = 97.84°, γ = 59.98°
Positions (direct):
K  0.206  0.206  0.138
K  0.794  0.794  0.862
Pt  0.500  0.500  0.500
S  0.106  0.727  0.447
S  0.273  0.894  0.553
S  0.340  0.340  0.692
S  0.660  0.660  0.308
S  0.727  0.106  0.447
S  0.894  0.273  0.553

Calculated values
symmetry = C2/m
crystal system = monoclinic
spin magnetization = 0.00 μB/f.u.


Model x:
## K2PtS6 (GGA-PBE)

Data for an optimized crystal structure of K2PtS6.

a = 6.517 Å, b = 6.517 Å, c = 7.624 Å
α = 111.44°, β = 111.44°, γ = 98.12°
Positions (direct):
K  0.250  0.750  0.000
K  0.750  0.250  0.000
Pt  0.000  0.000  0.500
S  0.149  0.356  0.500
S  0.186  0.186  0.874
S  0.356  0.149  0.500
S  0.644  0.851  0.500
S  0.814  0.814  0.126
S  0.851  0.644  0.500

Calculated values
symmetry = C2/m
crystal system = monoclinic
spin magnetization = 1.48 μB/f.u.


Least stable of them? model w.


Model w:
## KSb2Pt (GGA-PBE)

Data for an optimized crystal structure of KSb2Pt.

a = 7.385 Å, b = 7.385 Å, c = 7.385 Å
α = 90.00°, β = 90.00°, γ = 90.00°
Positions (direct):
K  0.000  0.000  0.000
K  0.000  0.500  0.500
K  0.500  0.000  0.500
K  0.500  0.500  0.000
Sb  0.000  0.000  0.500
Sb  0.000  0.500  0.000
Sb  0.250  0.250  0.750
Sb  0.250  0.750  0.250
Sb  0.500  0.000  0.000
Sb  0.500  0.500  0.500
Sb  0.750  0.250  0.250
Sb  0.750  0.750  0.750
Pt  0.250  0.250  0.250
Pt  0.250  0.750  0.750
Pt  0.750  0.250  0.750
Pt  0.750  0.750  0.250

Calculated values
symmetry = F-43m
crystal system = cubic
spin magnetization = 0.00 μB/f.u.


Model x:
## KSb2Pt (GGA-PBE)

Data for an optimized crystal structure of KSb2Pt.

a = 4.271 Å, b = 4.271 Å, c = 22.488 Å
α = 90.00°, β = 90.00°, γ = 120.00°
Positions (direct):
K  0.000  0.000  0.000
K  0.333  0.667  0.667
K  0.667  0.333  0.333
Sb  0.000  0.000  0.218
Sb  0.000  0.000  0.782
Sb  0.333  0.667  0.448
Sb  0.333  0.667  0.885
Sb  0.667  0.333  0.115
Sb  0.667  0.333  0.552
Pt  0.000  0.000  0.500
Pt  0.333  0.667  0.167
Pt  0.667  0.333  0.833

Calculated values
symmetry = R-3m
crystal system = trigonal
spin magnetization = 0.00 μB/f.u.


Least stable of them? model w.


Model w:
## KSb2Pt (GGA-PBE)

Data for an optimized crystal structure of KSb2Pt.

a = 4.159 Å, b = 7.731 Å, c = 7.354 Å
α = 90.00°, β = 90.00°, γ = 90.00°
Positions (direct):
K  0.250  0.250  0.101
K  0.750  0.750  0.899
Sb  0.250  0.038  0.662
Sb  0.250  0.462  0.662
Sb  0.750  0.538  0.338
Sb  0.750  0.962  0.338
Pt  0.250  0.750  0.430
Pt  0.750  0.250  0.570

Calculated values
symmetry = Pmmn
crystal system = orthorhombic
spin magnetization = 0.00 μB/f.u.


Model x:
## KSb2Pt (GGA-PBE)

Data for an optimized crystal structure of KSb2Pt.

a = 3.920 Å, b = 3.987 Å, c = 15.186 Å
α = 90.00°, β = 90.00°, γ = 90.00°
Positions (direct):
K  0.000  0.000  0.000
K  0.500  0.500  0.500
Sb  0.000  0.000  0.350
Sb  0.000  0.500  0.692
Sb  0.500  0.000  0.192
Sb  0.500  0.500  0.850
Pt  0.000  0.500  0.233
Pt  0.500  0.000  0.733

Calculated values
symmetry = Imm2
crystal system = orthorhombic
spin magnetization = 0.00 μB/f.u.


Least stable of them? model x.


Model w:
## KSb2Pt (GGA-PBE)

Data for an optimized crystal structure of KSb2Pt.

a = 3.520 Å, b = 3.798 Å, c = 7.970 Å
α = 90.00°, β = 90.00°, γ = 90.00°
Positions (direct):
K  0.000  0.000  0.000
Sb  0.500  0.500  0.324
Sb  0.500  0.500  0.676
Pt  0.000  0.000  0.500

Calculated values
symmetry = Pmmm
crystal system = orthorhombic
spin magnetization = 0.00 μB/f.u.


Model x:
## KSb2Pt (GGA-PBE)

Data for an optimized crystal structure of KSb2Pt.

a = 6.379 Å, b = 9.708 Å, c = 3.136 Å
α = 90.00°, β = 90.21°, γ = 90.00°
Positions (direct):
K  0.000  0.000  0.000
K  0.500  0.500  0.000
Sb  0.250  0.250  0.500
Sb  0.250  0.750  0.500
Sb  0.750  0.250  0.500
Sb  0.750  0.750  0.500
Pt  0.000  0.500  0.000
Pt  0.500  0.000  0.000

Calculated values
symmetry = C2/m
crystal system = monoclinic
spin magnetization = 0.00 μB/f.u.


Least stable of them? model x.


Model w:
## KSb2Pt (GGA-PBE)

Data for an optimized crystal structure of KSb2Pt.

a = 3.335 Å, b = 6.154 Å, c = 10.832 Å
α = 90.00°, β = 90.00°, γ = 90.00°
Positions (direct):
K  0.000  0.000  0.000
K  0.500  0.500  0.500
Sb  0.000  0.500  0.195
Sb  0.000  0.500  0.805
Sb  0.500  0.000  0.305
Sb  0.500  0.000  0.695
Pt  0.000  0.000  0.500
Pt  0.500  0.500  0.000

Calculated values
symmetry = Immm
crystal system = orthorhombic
spin magnetization = 0.00 μB/f.u.


Model x:
## KSb2Pt (GGA-PBE)

Data for an optimized crystal structure of KSb2Pt.

a = 7.253 Å, b = 7.253 Å, c = 7.253 Å
α = 90.00°, β = 90.00°, γ = 90.00°
Positions (direct):
K  0.000  0.000  0.000
K  0.000  0.500  0.500
K  0.500  0.000  0.500
K  0.500  0.500  0.000
Sb  0.250  0.250  0.250
Sb  0.250  0.250  0.750
Sb  0.250  0.750  0.250
Sb  0.250  0.750  0.750
Sb  0.750  0.250  0.250
Sb  0.750  0.250  0.750
Sb  0.750  0.750  0.250
Sb  0.750  0.750  0.750
Pt  0.000  0.000  0.500
Pt  0.000  0.500  0.000
Pt  0.500  0.000  0.000
Pt  0.500  0.500  0.500

Calculated values
symmetry = Fm-3m
crystal system = cubic
spin magnetization = 0.00 μB/f.u.


Least stable of them? model x.